[1]
VASP calculation (PBE) on an optimized crystal structure of La2AlS3.

Summary:
- uncorrected formation energy (meV/atom) = -1586
- total magnetic moment (μB per formula unit) = 0.00

Unit cell a=3.913 b=4.631 c=15.437 alpha=90.00 beta=90.00 gamma=90.00
Space group Immm (No. 71)
Unique sites:
La 0.000 0.000 0.142 x4
Al 0.000 0.000 0.500 x2
S 0.000 0.000 0.331 x4
S 0.000 0.500 0.500 x2


[2]
VASP calculation (PBE) on an optimized crystal structure of Mn2CuAs.

Summary:
- E_form (meV/atom) = 92
- total magnetic moment (μB per formula unit) = 6.35

Unit cell a=3.638 b=3.638 c=8.211 alpha=90.00 beta=90.00 gamma=90.00
Space group I-4m2 (No. 119)
Unique sites:
Mn 0.000 0.000 0.000 x2
Mn 0.000 0.500 0.250 x2
Cu 0.000 0.000 0.500 x2
As 0.000 0.500 0.750 x2


[3]
VASP calculation (PBE) on an optimized crystal structure of ErCoGe.

Summary:
- E_form (meV/atom) = -683
- total magnetic moment (μB per formula unit) = 0.00

Unit cell a=6.836 b=4.214 c=7.136 alpha=90.00 beta=90.00 gamma=90.00
Space group Pnma (No. 62)
Unique sites:
Er 0.011 0.250 0.197 x4
Co 0.154 0.750 0.434 x4
Ge 0.203 0.250 0.603 x4


[4]
VASP calculation (PBE) on an optimized crystal structure of NaPr8Os2.

Summary:
- E_form (meV/atom) = 40
- total magnetic moment (μB per formula unit) = 0.00

Unit cell a=15.858 b=7.101 c=6.602 alpha=90.00 beta=97.42 gamma=90.00
Space group C2/m (No. 12)
Unique sites:
Na 0.000 0.000 0.000 x2
Pr 0.072 0.500 0.834 x4
Pr 0.135 0.248 0.389 x8
Pr 0.207 0.000 0.878 x4
Os 0.227 0.500 0.695 x4